Material: Ba2Na3AgBi4
Method: DFT, GGA-PBE
State: relaxed

Computed properties:
* symmetry: P-4m2, No. 115
* V: 333.2 Å³ per cell
* energy relative to the elements: -0.465 eV/atom

a b c (Å): 4.957 4.957 13.564
angles (deg): 90.00 90.00 90.00
Fractional coordinates of all 10 atoms:
Ba  0.500  0.000  0.273
Ba  0.000  0.500  0.727
Na  0.000  0.000  0.500
Na  0.500  0.000  0.855
Na  0.000  0.500  0.145
Ag  0.500  0.500  0.500
Bi  0.500  0.500  0.000
Bi  0.000  0.000  0.000
Bi  0.500  0.000  0.634
Bi  0.000  0.500  0.366

Material: CuAs2W
Method: DFT, GGA-PBE
State: relaxed

Computed properties:
* ΔE to the lowest computed polymorph: 0.618 eV per atom
* symmetry: F-43m, No. 216
* V: 63.9 Å³ per cell
* energy relative to the elements: 0.751 eV/atom

a b c (Å): 4.488 4.488 4.488
angles (deg): 60.00 60.00 60.00
Last column: magnetic moment on the atom in μB.
Fractional coordinates of all 4 atoms:
As  0.000  0.000  0.000  -0.01
As  0.250  0.250  0.250  0.01
Cu  0.500  0.500  0.500  0.02
W  0.750  0.750  0.750  0.26

Material: Ti2HgTe4
Method: DFT, GGA-PBE
State: relaxed

Computed properties:
* symmetry: C2/m, No. 12
* V: 242.5 Å³ per cell
* E_form (uncorrected): -390.8 kJ/mol of formula units

a b c (Å): 3.729 6.519 10.749
angles (deg): 109.23 99.99 90.00
Fractional coordinates of all 7 atoms:
Ti  0.250  0.250  0.500
Ti  0.750  0.750  0.500
Hg  0.500  0.500  0.000
Te  0.662  0.987  0.325
Te  0.338  0.013  0.675
Te  0.163  0.487  0.325
Te  0.837  0.513  0.675

Number 1: magnetic moment 0.00 μB/f.u.. Number 2: magnetic moment 0.36 μB/f.u.. Number 3: magnetic moment 0.00 μB/f.u..